# 1
MgSi2Cl: relaxed, GGA-PBE.

a = 6.2988 Å, b = 6.2988 Å, c = 6.2988 Å
α = 151.59°, β = 104.34°, γ = 82.69°
Fractional coordinates of all 4 atoms:
Cl: 0.4318 0.4318 0.0000
Mg: 0.2483 0.7483 0.5000
Si: 0.0061 0.0061 0.0000
Si: 0.8138 0.3138 0.5000

The value obtained for the uncorrected formation energy is 0.045 eV/atom. The total magnetization comes out at 0.000 μB/f.u. The value obtained for the energy is -3.527 eV per atom. The energy relative to the lowest polymorph listed for this composition is 526 meV per atom. Its density of states at the Fermi level is 0.8 states/eV/f.u.


# 2
BaPNCl2: relaxed, GGA-PBE.

a = 5.8451 Å, b = 5.8451 Å, c = 3.4471 Å
α = 90.00°, β = 90.00°, γ = 90.00°
Fractional coordinates of all 5 atoms:
P: 0.0000 0.0000 0.5000
N: 0.0000 0.0000 0.0000
Ba: 0.5000 0.5000 0.5000
Cl: 0.0000 0.5000 0.0000
Cl: 0.5000 0.0000 0.0000

The value obtained for the uncorrected formation energy is -0.474 eV/atom. The total magnetization comes out at 0.000 μB/f.u. The value obtained for the energy is -4.344 eV per atom. The energy relative to the lowest polymorph listed for this composition is 0 meV per atom. Its density of states at the Fermi level is 2.5 states/eV/f.u.


# 3
AcAg5Te4: relaxed, GGA-PBE.

a = 4.6456 Å, b = 8.4967 Å, c = 8.8749 Å
α = 118.60°, β = 105.17°, γ = 90.00°
Fractional coordinates of all 10 atoms:
Ac: 0.5000 0.0000 0.0000
Ag: 0.8167 0.0047 0.6334
Ag: 0.8167 0.6287 0.6334
Ag: 0.1833 0.3713 0.3666
Ag: 0.1833 0.9953 0.3666
Ag: 0.5000 0.5000 0.0000
Te: 0.0000 0.7194 0.0000
Te: 0.2688 0.7688 0.5375
Te: 0.7312 0.2312 0.4625
Te: 0.0000 0.2806 0.0000

The value obtained for the uncorrected formation energy is -0.407 eV/atom. The total magnetization comes out at 0.000 μB/f.u. The value obtained for the energy is -3.500 eV per atom. Its density of states at the Fermi level is 1.5 states/eV/f.u.